The following is a PBE calculation of crystalline U3PaTl3Te8 at its relaxed geometry, from Alexandria.

abc: 8.674 8.674 9.830
angles: 116.19 90.00 120.00
Last column: magnetic moment on the atom in μB.
Atoms (fractional coordinates):
Te: 0.739 0.479 0.718  -0.06
Te: 0.761 0.523 0.283  -0.05
Te: 0.261 0.521 0.282  -0.06
Te: 0.260 0.021 0.283  -0.05
Te: 0.239 0.477 0.717  -0.05
Te: 0.238 0.979 0.717  -0.05
Te: 0.762 0.021 0.283  -0.05
Te: 0.740 0.979 0.717  -0.05
U: 0.500 0.500 0.500  2.69
U: 0.000 0.500 0.500  2.69
U: 0.500 0.000 0.500  2.69
Pa: 0.000 0.000 0.500  1.13
Tl: 0.000 0.000 0.000  -0.01
Tl: 0.000 0.500 0.000  -0.01
Tl: 0.500 0.500 0.000  -0.01

Results
Formation energy without anion corrections   -0.587 eV/atom
Space-group type   R-3m, No. 166
Raw total energy   -84.40 eV for the cell shown